Entry 1:
AcZnAg4: relaxed, PBE.

abc: 5.6973 5.6973 5.6973
angles: 60.00 60.00 60.00
Closest atoms and distances in Å follow each position.
Sites, in units of the cell vectors:
Ac 0.0000 0.0000 0.0000  12 Ag 3.34, 4 Zn 3.49
Zn 0.7500 0.7500 0.7500  12 Ag 3.34, 4 Ac 3.49
Ag 0.3761 0.3761 0.3761  6 Ag 2.82-2.87
Ag 0.3761 0.3761 0.8716  6 Ag 2.82-2.87
Ag 0.3761 0.8716 0.3761  6 Ag 2.82-2.87
Ag 0.8716 0.3761 0.3761  6 Ag 2.82-2.87

Computed properties:
The calculation puts the energy above the lowest structure with this stoichiometry at 0.000 eV/atom. Its density of states at the Fermi level is 1.12 states/eV/atom. The space group is F-43m. The calculation puts the calculated formation energy at -134 meV per atom.

***

Entry 2:
AcZn9Ag2: relaxed, PBE.

abc: 8.8627 8.8627 3.2684
angles: 90.00 90.00 120.00
Closest atoms and distances in Å follow each position.
Sites, in units of the cell vectors:
Ac 0.0000 0.0000 0.0000  2 Ac 3.27, 12 Zn 3.32
Zn 0.0000 0.5000 0.0000  2 Ag 2.56
Zn 0.1881 0.3762 0.5000  2 Ag 2.76, 6 Zn 2.89-2.91
Zn 0.1881 0.8119 0.5000  2 Ag 2.76, 6 Zn 2.89-2.91
Zn 0.3762 0.1881 0.5000  2 Ag 2.76, 6 Zn 2.89-2.91
Zn 0.5000 0.0000 0.0000  2 Ag 2.56
Zn 0.5000 0.5000 0.0000  2 Ag 2.56
Zn 0.6238 0.8119 0.5000  2 Ag 2.76, 6 Zn 2.89-2.91
Zn 0.8119 0.1881 0.5000  2 Ag 2.76, 6 Zn 2.89-2.91
Zn 0.8119 0.6238 0.5000  2 Ag 2.76, 6 Zn 2.89-2.91
Ag 0.3333 0.6667 0.0000  9 Zn 2.56-2.76
Ag 0.6667 0.3333 0.0000  9 Zn 2.56-2.76

Computed properties:
The calculation puts the energy above the lowest structure with this stoichiometry at 0.088 eV/atom. Its density of states at the Fermi level is 0.50 states/eV/atom. The space group is P6/mmm. The calculation puts the calculated formation energy at -19 meV per atom.